Entry 1:
# TlZn2Rh, optimized geometry, DFT GGA-PBE
data_TlZn2Rh
_symmetry_space_group_name_H-M 'F -4 3 m'
_symmetry_Int_Tables_number 216
_symmetry_space_group_name_Hall 'F -4 2 3'
_cell_length_a 6.454
_cell_length_b 6.454
_cell_length_c 6.454
_cell_angle_alpha 90.00
_cell_angle_beta 90.00
_cell_angle_gamma 90.00
loop_
_atom_site_label
_atom_site_fract_x
_atom_site_fract_y
_atom_site_fract_z
Tl1 0.000 0.000 0.000
Zn1 0.000 0.000 0.500
Zn2 0.250 0.250 0.250
Rh1 0.250 0.250 0.750
# E, eV per atom: -2.94
# Relative energy among the computed polymorphs, meV per atom: 237
# Calculated formation energy, eV/atom: 0.13
# DOS(E_F), states/eV/atom: 0.78



Entry 2:
# TlZn2Rh, optimized geometry, DFT GGA-PBE
data_TlZn2Rh
_symmetry_space_group_name_H-M 'P 1 m 1'
_symmetry_Int_Tables_number 6
_cell_length_a 3.211
_cell_length_b 4.237
_cell_length_c 5.278
_cell_angle_alpha 90.00
_cell_angle_beta 100.06
_cell_angle_gamma 90.00
loop_
_symmetry_equiv_pos_as_xyz
'x,y,z'
'x,-y,z'
loop_
_atom_site_label
_atom_site_fract_x
_atom_site_fract_y
_atom_site_fract_z
Tl1 0.000 0.000 0.000
Zn1 0.351 0.000 0.513
Zn2 0.822 0.500 0.377
Rh1 0.458 0.500 0.788
# E, eV per atom: -3.06
# Relative energy among the computed polymorphs, meV per atom: 113
# Calculated formation energy, eV/atom: 0.00
# DOS(E_F), states/eV/atom: 0.47



Entry 3:
# TlZn2Rh, optimized geometry, DFT GGA-PBE
data_TlZn2Rh
_symmetry_space_group_name_H-M 'F m -3 m'
_symmetry_Int_Tables_number 225
_symmetry_space_group_name_Hall '-F 4 2 3'
_cell_length_a 6.441
_cell_length_b 6.441
_cell_length_c 6.441
_cell_angle_alpha 90.00
_cell_angle_beta 90.00
_cell_angle_gamma 90.00
loop_
_atom_site_label
_atom_site_fract_x
_atom_site_fract_y
_atom_site_fract_z
Tl1 0.000 0.000 0.000
Zn1 0.250 0.250 0.250
Rh1 0.000 0.000 0.500
# E, eV per atom: -2.94
# Relative energy among the computed polymorphs, meV per atom: 235
# Calculated formation energy, eV/atom: 0.13
# DOS(E_F), states/eV/atom: 0.54



Entry 4:
# TlZn3Rh4, optimized geometry, DFT GGA-PBE
data_TlZn3Rh4
_symmetry_space_group_name_H-M 'R -3 m'
_symmetry_Int_Tables_number 166
_symmetry_space_group_name_Hall '-R 3 2"'
_cell_length_a 4.3663
_cell_length_b 4.3663
_cell_length_c 21.6846
_cell_angle_alpha 90.00
_cell_angle_beta 90.00
_cell_angle_gamma 120.00
loop_
_atom_site_label
_atom_site_fract_x
_atom_site_fract_y
_atom_site_fract_z
Tl1 0.0000 0.0000 0.0000
Zn1 0.0000 0.0000 0.2468
Zn2 0.0000 0.0000 0.5000
Rh1 0.0000 0.0000 0.1276
Rh2 0.0000 0.0000 0.3802
# E, eV per atom: -4.70
# Calculated formation energy, eV/atom: -0.25
# DOS(E_F), states/eV/atom: 0.61



Entry 5:
# TlZn4Rh, optimized geometry, DFT GGA-PBE
data_TlZn4Rh
_symmetry_space_group_name_H-M 'F -4 3 m'
_symmetry_Int_Tables_number 216
_symmetry_space_group_name_Hall 'F -4 2 3'
_cell_length_a 7.249
_cell_length_b 7.249
_cell_length_c 7.249
_cell_angle_alpha 90.00
_cell_angle_beta 90.00
_cell_angle_gamma 90.00
loop_
_atom_site_label
_atom_site_fract_x
_atom_site_fract_y
_atom_site_fract_z
Tl1 0.000 0.000 0.000
Zn1 0.124 0.124 0.624
Rh1 0.250 0.250 0.250
# E, eV per atom: -2.43
# Calculated formation energy, eV/atom: 0.03
# DOS(E_F), states/eV/atom: 0.21



Entry 6:
# TlZn2Rh, optimized geometry, DFT GGA-PBE
data_TlZn2Rh
_symmetry_space_group_name_H-M 'I -4 2 d'
_symmetry_Int_Tables_number 122
_symmetry_space_group_name_Hall 'I -4 2bw'
_cell_length_a 3.943
_cell_length_b 3.943
_cell_length_c 19.078
_cell_angle_alpha 90.00
_cell_angle_beta 90.00
_cell_angle_gamma 90.00
loop_
_atom_site_label
_atom_site_fract_x
_atom_site_fract_y
_atom_site_fract_z
Tl1 0.000 0.000 0.000
Zn1 0.203 0.250 0.625
Rh1 0.000 0.000 0.500
# E, eV per atom: -2.91
# Relative energy among the computed polymorphs, meV per atom: 261
# Calculated formation energy, eV/atom: 0.15
# DOS(E_F), states/eV/atom: 0.62



Entry 7:
# TlZn2Rh, optimized geometry, DFT GGA-PBE
data_TlZn2Rh
_symmetry_space_group_name_H-M 'C 1 m 1'
_symmetry_Int_Tables_number 8
_cell_length_a 9.356
_cell_length_b 3.307
_cell_length_c 4.606
_cell_angle_alpha 90.00
_cell_angle_beta 107.31
_cell_angle_gamma 90.00
loop_
_symmetry_equiv_pos_as_xyz
'x,y,z'
'x,-y,z'
'x+1/2,y+1/2,z'
'x+1/2,-y+1/2,z'
loop_
_atom_site_label
_atom_site_fract_x
_atom_site_fract_y
_atom_site_fract_z
Tl1 0.000 0.000 0.000
Zn1 0.234 0.000 0.732
Zn2 0.488 0.000 0.479
Rh1 0.259 0.500 0.294
# E, eV per atom: -3.04
# Relative energy among the computed polymorphs, meV per atom: 132
# Calculated formation energy, eV/atom: 0.02
# DOS(E_F), states/eV/atom: 0.48



Entry 8:
# Zr2Tl2Rh, optimized geometry, DFT GGA-PBE
data_Zr2Tl2Rh
_symmetry_space_group_name_H-M 'P 4/m b m'
_symmetry_Int_Tables_number 127
_symmetry_space_group_name_Hall '-P 4 2ab'
_cell_length_a 7.143
_cell_length_b 7.143
_cell_length_c 4.275
_cell_angle_alpha 90.00
_cell_angle_beta 90.00
_cell_angle_gamma 90.00
loop_
_atom_site_label
_atom_site_fract_x
_atom_site_fract_y
_atom_site_fract_z
Zr1 0.166 0.334 0.000
Tl1 0.143 0.643 0.500
Rh1 0.000 0.000 0.500
# E, eV per atom: -5.84
# Calculated formation energy, eV/atom: 0.00
# DOS(E_F), states/eV/atom: 0.75